(1)
Entry from Alexandria via LeMat-Bulk: a relaxed CaCrAsBr2 crystal (PBE).

Cell lengths 5.1271, 5.1271, 4.9764 Å; angles 90.00, 90.00, 90.00 degrees
Closest atoms and distances in Å follow each position.
Space group P4/mmm (No. 123)
Asymmetric unit:
Ca 0.0000 0.0000 0.0000 (multiplicity 1)  8 Br 3.57, 4 As 3.63
Cr 0.5000 0.5000 0.5000 (multiplicity 1)  2 As 2.49, 4 Br 2.56
As 0.5000 0.5000 0.0000 (multiplicity 1)  2 Cr 2.49
Br 0.0000 0.5000 0.5000 (multiplicity 2)  2 Cr 2.56

Results
DOS at the Fermi energy ... 2.1 states/eV/cell

(2)
Entry from Alexandria via LeMat-Bulk: a relaxed Ca2CrAsBr crystal (PBE).

Cell lengths 5.6400, 5.6400, 5.5676 Å; angles 90.00, 90.00, 90.00 degrees
Closest atoms and distances in Å follow each position.
Space group P4/mmm (No. 123)
Asymmetric unit:
Ca 0.0000 0.5000 0.0000 (multiplicity 2)  2 As 2.82
Cr 0.0000 0.0000 0.5000 (multiplicity 1)  8 Ca 3.96, 4 Br 3.99
As 0.5000 0.5000 0.0000 (multiplicity 1)  2 Br 2.78, 4 Ca 2.82
Br 0.5000 0.5000 0.5000 (multiplicity 1)  2 As 2.78

Results
DOS at the Fermi energy ... 2.9 states/eV/cell

(3)
Entry from Alexandria via LeMat-Bulk: a relaxed CsCaAs2Br crystal (PBE).

Cell lengths 5.7223, 5.7223, 5.9169 Å; angles 90.00, 90.00, 90.00 degrees
Closest atoms and distances in Å follow each position.
Space group P4/mmm (No. 123)
Asymmetric unit:
Cs 0.0000 0.0000 0.0000 (multiplicity 1)  4 Br 4.05, 8 As 4.12
Ca 0.5000 0.5000 0.5000 (multiplicity 1)  4 As 2.86, 2 Br 2.96
As 0.0000 0.5000 0.5000 (multiplicity 2)  2 Ca 2.86
Br 0.5000 0.5000 0.0000 (multiplicity 1)  2 Ca 2.96

Results
DOS at the Fermi energy ... 1.9 states/eV/cell

(4)
Entry from Alexandria via LeMat-Bulk: a relaxed CsCaAsBr2 crystal (PBE).

Cell lengths 5.8190, 5.8190, 5.9580 Å; angles 90.00, 90.00, 90.00 degrees
Closest atoms and distances in Å follow each position.
Space group P4/mmm (No. 123)
Asymmetric unit:
Cs 0.0000 0.0000 0.0000 (multiplicity 1)  4 As 4.11, 8 Br 4.16
Ca 0.5000 0.5000 0.5000 (multiplicity 1)  4 Br 2.91, 2 As 2.98
As 0.5000 0.5000 0.0000 (multiplicity 1)  2 Ca 2.98
Br 0.0000 0.5000 0.5000 (multiplicity 2)  2 Ca 2.91

Results
DOS at the Fermi energy ... 0.8 states/eV/cell

(5)
Entry from Alexandria via LeMat-Bulk: a relaxed Cs2CaAsBr crystal (PBE).

Cell lengths 7.1052, 7.1052, 5.7217 Å; angles 90.00, 90.00, 90.00 degrees
Closest atoms and distances in Å follow each position.
Space group P4/mmm (No. 123)
Asymmetric unit:
Cs 0.0000 0.5000 0.0000 (multiplicity 2)  2 As 3.55
Ca 0.0000 0.0000 0.5000 (multiplicity 1)  8 Cs 4.56, 4 Br 5.02
As 0.5000 0.5000 0.0000 (multiplicity 1)  2 Br 2.86
Br 0.5000 0.5000 0.5000 (multiplicity 1)  2 As 2.86

Results
DOS at the Fermi energy ... 5.2 states/eV/cell

(6)
Entry from Alexandria via LeMat-Bulk: a relaxed CsCaAs2Br crystal (PBE).

Cell lengths 5.7065, 5.7065, 6.3058 Å; angles 90.00, 90.00, 90.00 degrees
Closest atoms and distances in Å follow each position.
Space group P4/mmm (No. 123)
Asymmetric unit:
Cs 0.0000 0.0000 0.0000 (multiplicity 1)  4 As 2.85, 2 Br 3.15
Ca 0.5000 0.5000 0.5000 (multiplicity 1)  4 Br 4.04, 8 As 4.25
As 0.0000 0.5000 0.0000 (multiplicity 2)  2 Cs 2.85
Br 0.0000 0.0000 0.5000 (multiplicity 1)  2 Cs 3.15

Results
DOS at the Fermi energy ... 7.0 states/eV/cell

(7)
Entry from Alexandria via LeMat-Bulk: a relaxed CsCaAsBr2 crystal (PBE).

Cell lengths 6.3147, 6.3147, 5.9344 Å; angles 90.00, 90.00, 90.00 degrees
Closest atoms and distances in Å follow each position.
Space group P4/mmm (No. 123)
Asymmetric unit:
Cs 0.0000 0.0000 0.0000 (multiplicity 1)  2 As 2.97, 4 Br 3.16
Ca 0.5000 0.5000 0.5000 (multiplicity 1)  8 Br 4.33, 4 As 4.47
As 0.0000 0.0000 0.5000 (multiplicity 1)  2 Cs 2.97
Br 0.0000 0.5000 0.0000 (multiplicity 2)  2 Cs 3.16

Results
DOS at the Fermi energy ... 5.5 states/eV/cell

(8)
Entry from Alexandria via LeMat-Bulk: a relaxed CsCa2AsBr crystal (PBE).

Cell lengths 5.6509, 5.6509, 6.3036 Å; angles 90.00, 90.00, 90.00 degrees
Closest atoms and distances in Å follow each position.
Space group P4/mmm (No. 123)
Asymmetric unit:
Cs 0.0000 0.0000 0.0000 (multiplicity 1)  4 As 4.00, 8 Ca 4.23
Ca 0.0000 0.5000 0.5000 (multiplicity 2)  2 Br 2.83
As 0.5000 0.5000 0.0000 (multiplicity 1)  2 Br 3.15
Br 0.5000 0.5000 0.5000 (multiplicity 1)  4 Ca 2.83, 2 As 3.15

Results
DOS at the Fermi energy ... 2.2 states/eV/cell

(9)
Entry from Alexandria via LeMat-Bulk: a relaxed CaAs2BrF crystal (PBE).

Cell lengths 4.3540, 4.3540, 6.0611 Å; angles 90.00, 90.00, 90.00 degrees
Closest atoms and distances in Å follow each position.
Space group P4/mmm (No. 123)
Asymmetric unit:
Ca 0.0000 0.0000 0.0000 (multiplicity 1)  4 Br 3.08
As 0.0000 0.5000 0.5000 (multiplicity 2)  2 F 2.18
Br 0.5000 0.5000 0.0000 (multiplicity 1)  2 F 3.03, 4 Ca 3.08
F 0.5000 0.5000 0.5000 (multiplicity 1)  4 As 2.18

Results
DOS at the Fermi energy ... 3.1 states/eV/cell

(10)
Entry from Alexandria via LeMat-Bulk: a relaxed CaAs2BrF crystal (PBE).

Cell lengths 5.6422, 5.6422, 5.3914 Å; angles 90.00, 90.00, 90.00 degrees
Closest atoms and distances in Å follow each position.
Space group P4/mmm (No. 123)
Asymmetric unit:
Ca 0.0000 0.0000 0.0000 (multiplicity 1)  2 Br 2.70, 4 As 2.82
As 0.0000 0.5000 0.0000 (multiplicity 2)  2 Ca 2.82
Br 0.0000 0.0000 0.5000 (multiplicity 1)  2 Ca 2.70
F 0.5000 0.5000 0.5000 (multiplicity 1)  8 As 3.90, 4 Br 3.99

Results
DOS at the Fermi energy ... 7.4 states/eV/cell

(11)
Entry from Alexandria via LeMat-Bulk: a relaxed CaFeAsBr2 crystal (PBE).

Cell lengths 5.1053, 5.1053, 4.8156 Å; angles 90.00, 90.00, 90.00 degrees
Closest atoms and distances in Å follow each position.
Space group P4/mmm (No. 123)
Asymmetric unit:
Ca 0.0000 0.0000 0.0000 (multiplicity 1)  8 Br 3.51, 4 As 3.61
Fe 0.5000 0.5000 0.5000 (multiplicity 1)  2 As 2.41, 4 Br 2.55
As 0.5000 0.5000 0.0000 (multiplicity 1)  2 Fe 2.41
Br 0.0000 0.5000 0.5000 (multiplicity 2)  2 Fe 2.55

Results
DOS at the Fermi energy ... 5.0 states/eV/cell

(12)
Entry from Alexandria via LeMat-Bulk: a relaxed CaFeAs2Br crystal (PBE).

Cell lengths 4.5089, 4.5089, 5.6018 Å; angles 90.00, 90.00, 90.00 degrees
Closest atoms and distances in Å follow each position.
Space group P4/mmm (No. 123)
Asymmetric unit:
Ca 0.0000 0.0000 0.0000 (multiplicity 1)  4 Br 3.19
Fe 0.5000 0.5000 0.5000 (multiplicity 1)  4 As 2.25
As 0.0000 0.5000 0.5000 (multiplicity 2)  2 Fe 2.25
Br 0.5000 0.5000 0.0000 (multiplicity 1)  2 Fe 2.80

Results
DOS at the Fermi energy ... 3.7 states/eV/cell

(13)
Entry from Alexandria via LeMat-Bulk: a relaxed CaFeAsBr2 crystal (PBE).

Cell lengths 5.4092, 5.4092, 5.9472 Å; angles 90.00, 90.00, 90.00 degrees
Closest atoms and distances in Å follow each position.
Space group P4/mmm (No. 123)
Asymmetric unit:
Ca 0.0000 0.0000 0.0000 (multiplicity 1)  4 Br 2.70, 2 As 2.97
Fe 0.5000 0.5000 0.5000 (multiplicity 1)  4 As 3.82, 8 Br 4.02
As 0.0000 0.0000 0.5000 (multiplicity 1)  2 Ca 2.97
Br 0.0000 0.5000 0.0000 (multiplicity 2)  2 Ca 2.70

Results
DOS at the Fermi energy ... 4.4 states/eV/cell

(14)
Entry from Alexandria via LeMat-Bulk: a relaxed CaFeAs2Br crystal (PBE).

Cell lengths 5.4837, 5.4837, 5.3470 Å; angles 90.00, 90.00, 90.00 degrees
Closest atoms and distances in Å follow each position.
Space group P4/mmm (No. 123)
Asymmetric unit:
Ca 0.0000 0.0000 0.0000 (multiplicity 1)  2 Br 2.67, 4 As 2.74
Fe 0.5000 0.5000 0.5000 (multiplicity 1)  8 As 3.83, 4 Br 3.88
As 0.0000 0.5000 0.0000 (multiplicity 2)  2 Ca 2.74
Br 0.0000 0.0000 0.5000 (multiplicity 1)  2 Ca 2.67

Results
DOS at the Fermi energy ... 8.2 states/eV/cell

no.,total moment (μB per atom),formation energy from raw total energies (eV per atom)
1,0.60,-0.55
2,1.07,0.07
3,0.41,-0.40
4,0.40,-1.14
5,0.01,-0.02
6,0.16,0.50
7,0.20,-0.12
8,0.00,-0.23
9,0.00,-0.65
10,0.22,0.20
11,0.69,-0.41
12,0.00,-0.29
13,1.02,0.20
14,0.58,0.82